The following is a GGA-PBE calculation of NaN2Cl after structural relaxation, from Alexandria via LeMat-Bulk.

Computed properties:
**Space group**: No. 11
**D(E_F)**: 0.00 states/eV per cell
**Formation energy without anion corrections**: -838 meV per atom
**Total moment**: 0.10 Bohr magnetons per cell
**Energy above the lowest structure with this stoichiometry**: 0 meV/atom
**Final energy**: -5.792 eV/atom

Cell: 5.3778 4.8553 9.6187 Å, 90.00 106.36 90.00°
Fractional coordinates of all 8 atoms:
N 0.4152 0.8646 0.3293
Cl 0.2055 0.7500 0.9117
N 0.4152 0.6354 0.3293
Cl 0.7945 0.2500 0.0883
Na 0.7246 0.7500 0.9498
N 0.5848 0.3646 0.6707
Na 0.2754 0.2500 0.0502
N 0.5848 0.1354 0.6707

The following is a GGA-PBE calculation of Ho5Pu2Ru4 after structural relaxation, from Alexandria via LeMat-Bulk.

Computed properties:
**Space group**: No. 12
**D(E_F)**: 16.38 states/eV per cell
**E_form**: -0.108 eV per atom
**Total moment**: 9.23 Bohr magnetons per cell
**Final energy**: -8.168 eV/atom

Cell: 3.3688 7.9151 17.2912 Å, 35.23 95.59 90.00°
Last column: magnetic moment on the atom in μB.
Fractional coordinates of all 11 atoms:
Ho 0.8346 0.6145 0.6692  0.07
Ru 0.6578 0.6968 0.3156  -0.23
Ru 0.3422 0.3032 0.6844  -0.23
Pu 0.0554 0.1619 0.1108  4.81
Ho 0.5000 0.0000 0.0000  0.18
Ru 0.9356 0.5077 0.8713  -0.42
Pu 0.9446 0.8381 0.8892  4.81
Ho 0.2007 0.8297 0.4013  0.08
Ho 0.7993 0.1703 0.5987  0.08
Ru 0.0644 0.4923 0.1287  -0.42
Ho 0.1654 0.3855 0.3308  0.07

The following is a GGA-PBE calculation of LiAcZnAu after structural relaxation, from Alexandria via LeMat-Bulk.

Computed properties:
**Space group**: No. 216
**D(E_F)**: 2.91 states/eV per cell
**E_form**: -0.386 eV per atom
**Total moment**: 0.00 Bohr magnetons per cell
**Energy above the lowest structure with this stoichiometry**: 105 meV/atom
**Final energy**: -3.030 eV/atom

Cell: 5.1848 5.1848 5.1848 Å, 60.00 60.00 60.00°
Fractional coordinates of all 4 atoms:
Au 0.5000 0.5000 0.5000
Li 0.2500 0.2500 0.2500
Zn 0.0000 0.0000 0.0000
Ac 0.7500 0.7500 0.7500

The following is a GGA-PBE calculation of ScTiSbI2 after structural relaxation, from Alexandria via LeMat-Bulk.

Computed properties:
**Space group**: No. 123
**D(E_F)**: 5.62 states/eV per cell
**Formation energy without anion corrections**: 94 meV per atom
**Total moment**: 1.91 Bohr magnetons per cell
**Energy above the lowest structure with this stoichiometry**: 0 meV/atom
**Final energy**: -4.196 eV/atom

Cell: 5.3861 5.3861 5.5858 Å, 90.00 90.00 90.00°
Last column: magnetic moment on the atom in μB.
Fractional coordinates of all 5 atoms:
Sb 0.0000 0.0000 0.5000  -0.09
I 0.5000 0.0000 0.0000  -0.03
Sc 0.5000 0.5000 0.5000  0.72
I 0.0000 0.5000 0.0000  -0.03
Ti 0.0000 0.0000 0.0000  0.91

The following is a GGA-PBE calculation of YSn3F after structural relaxation, from Alexandria via LeMat-Bulk.

Computed properties:
**Space group**: No. 221
**D(E_F)**: 3.14 states/eV per cell
**Formation energy without anion corrections**: -741 meV per atom
**Total moment**: 0.00 Bohr magnetons per cell
**Energy above the lowest structure with this stoichiometry**: 0 meV/atom
**Final energy**: -4.810 eV/atom

Cell: 4.9320 4.9320 4.9320 Å, 90.00 90.00 90.00°
Fractional coordinates of all 5 atoms:
Sn 0.0000 0.0000 0.5000
F 0.0000 0.0000 0.0000
Y 0.5000 0.5000 0.5000
Sn 0.0000 0.5000 0.0000
Sn 0.5000 0.0000 0.0000

The following is a GGA-PBE calculation of BaCdPb after structural relaxation, from Alexandria via LeMat-Bulk.

Computed properties:
**Space group**: No. 156
**D(E_F)**: 2.11 states/eV per cell
**E_form**: -0.411 eV per atom
**Total moment**: 0.00 Bohr magnetons per cell
**Final energy**: -2.593 eV/atom

Cell: 5.0676 5.0676 5.0040 Å, 90.00 90.00 120.00°
Fractional coordinates of all 3 atoms:
Pb 0.3333 0.6667 0.5193
Cd 0.6667 0.3333 0.4817
Ba 0.0000 0.0000 0.9989

The following is a GGA-PBE calculation of CsNbAg2Te4 after structural relaxation, from Alexandria via LeMat-Bulk.

Computed properties:
**Space group**: No. 23
**Formation energy without anion corrections**: -339 meV per atom
**Total moment**: 0.00 Bohr magnetons per cell
**Final energy**: -3.988 eV/atom

Cell: 6.8415 7.6239 7.6239 Å, 81.42 63.34 63.34°
Fractional coordinates of all 8 atoms:
Te 0.6264 0.5201 0.8383
Te 0.9847 0.4799 0.1617
Ag 0.5000 0.6422 0.3578
Te 0.3736 0.1617 0.4799
Nb 0.0000 0.5000 0.5000
Cs 0.0000 0.0000 0.0000
Ag 0.5000 0.3578 0.6422
Te 0.0153 0.8383 0.5201

The following is a GGA-PBE calculation of Ba2SrV after structural relaxation, from Alexandria via LeMat-Bulk.

Computed properties:
**Space group**: No. 225
**D(E_F)**: 6.02 states/eV per cell
**E_form**: 0.627 eV per atom
**Total moment**: 5.00 Bohr magnetons per cell
**Energy above the lowest structure with this stoichiometry**: 0 meV/atom
**Final energy**: -3.034 eV/atom

Cell: 6.3158 6.3158 6.3158 Å, 60.00 60.00 60.00°
Last column: magnetic moment on the atom in μB.
Fractional coordinates of all 4 atoms:
Ba 0.2500 0.2500 0.2500  0.12
Ba 0.7500 0.7500 0.7500  0.12
V 0.0000 0.0000 0.0000  3.01
Sr 0.5000 0.5000 0.5000  0.04

The following is a GGA-PBE calculation of Cs3P5I12 after structural relaxation, from Alexandria via LeMat-Bulk.

Computed properties:
**Space group**: No. 230
**D(E_F)**: 26.87 states/eV per cell
**Formation energy without anion corrections**: -206 meV per atom
**Total moment**: 0.00 Bohr magnetons per cell
**Final energy**: -2.617 eV/atom

Cell: 16.9231 16.9231 16.9231 Å, 109.47 109.47 109.47°
Fractional coordinates of all 80 atoms:
Cs 0.3750 0.7500 0.6250
I 0.3134 0.4840 0.3882
I 0.5160 0.8294 0.9043
P 0.0000 0.0000 0.5000
P 0.0000 0.5000 0.0000
I 0.0957 0.6706 0.4840
P 0.1250 0.3750 0.2500
I 0.9840 0.5957 0.6706
I 0.4840 0.1706 0.0957
I 0.0957 0.4251 0.1118
I 0.6118 0.0160 0.6866
P 0.0000 0.5000 0.5000
I 0.1706 0.6866 0.0749
I 0.0749 0.1866 0.1706
I 0.6706 0.0957 0.9840
P 0.6250 0.8750 0.2500
I 0.1118 0.9251 0.0957
P 0.3750 0.2500 0.1250
Cs 0.6250 0.3750 0.7500
I 0.1118 0.1866 0.5160
I 0.8882 0.8134 0.4840
P 0.7500 0.1250 0.8750
I 0.0749 0.8882 0.4043
Cs 0.2500 0.6250 0.8750
I 0.9043 0.5749 0.8882
P 0.2500 0.8750 0.1250
I 0.4251 0.3294 0.3134
Cs 0.1250 0.2500 0.8750
I 0.6866 0.1706 0.5749
I 0.6118 0.5957 0.4251
P 0.8750 0.6250 0.7500
P 0.0000 0.0000 0.0000
P 0.3750 0.1250 0.7500
Cs 0.8750 0.7500 0.1250
Cs 0.3750 0.6250 0.2500
I 0.8882 0.0749 0.9043
I 0.9251 0.8134 0.8294
I 0.3294 0.4251 0.8134
P 0.2500 0.3750 0.6250
I 0.8294 0.5160 0.4043
P 0.7500 0.6250 0.3750
I 0.9043 0.3294 0.5160
Cs 0.6250 0.2500 0.3750
P 0.8750 0.2500 0.6250
P 0.5000 0.5000 0.5000
P 0.1250 0.7500 0.3750
I 0.5160 0.6866 0.1118
I 0.8294 0.3134 0.9251
I 0.3294 0.9043 0.0160
I 0.0160 0.6118 0.1866
I 0.9251 0.1118 0.5957
P 0.5000 0.0000 0.5000
Cs 0.7500 0.8750 0.6250
Cs 0.7500 0.3750 0.1250
I 0.6866 0.5160 0.6118
I 0.5957 0.6118 0.9251
I 0.5749 0.9043 0.3882
P 0.6250 0.7500 0.8750
Cs 0.2500 0.1250 0.3750
I 0.4043 0.0160 0.8294
I 0.8134 0.9251 0.3294
I 0.5957 0.9840 0.1706
P 0.5000 0.0000 0.0000
I 0.1706 0.4840 0.5957
I 0.5749 0.6706 0.6866
I 0.4043 0.3882 0.0749
I 0.9840 0.3882 0.8134
I 0.4840 0.3134 0.8882
I 0.1866 0.1118 0.0160
I 0.4251 0.0957 0.6118
I 0.1866 0.0749 0.6706
Cs 0.8750 0.1250 0.2500
I 0.3882 0.9840 0.3134
P 0.5000 0.5000 0.0000
I 0.8134 0.8882 0.9840
Cs 0.1250 0.8750 0.7500
I 0.3882 0.4043 0.5749
I 0.6706 0.5749 0.1866
I 0.0160 0.4043 0.3294
I 0.3134 0.8294 0.4251

The following is a GGA-PBE calculation of RbNa2Hg2Bi2 after structural relaxation, from Alexandria via LeMat-Bulk.

Computed properties:
**Space group**: No. 166
**D(E_F)**: 3.28 states/eV per cell
**E_form**: -0.281 eV per atom
**Total moment**: 0.00 Bohr magnetons per cell
**Final energy**: -1.991 eV/atom

Cell: 5.2892 5.2892 10.6080 Å, 75.56 75.56 60.00°
Fractional coordinates of all 7 atoms:
Hg 0.5719 0.5719 0.2842
Na 0.1375 0.1375 0.5875
Hg 0.4281 0.4281 0.7158
Bi 0.7530 0.7530 0.7409
Na 0.8625 0.8625 0.4125
Bi 0.2470 0.2470 0.2591
Rb 0.0000 0.0000 0.0000

The following is a GGA-PBE calculation of YSc2InO after structural relaxation, from Alexandria via LeMat-Bulk.

Computed properties:
**Space group**: No. 123
**D(E_F)**: 2.83 states/eV per cell
**Formation energy without anion corrections**: -1441 meV per atom
**Total moment**: 0.00 Bohr magnetons per cell
**Final energy**: -6.806 eV/atom

Cell: 4.5041 4.5041 4.7497 Å, 90.00 90.00 90.00°
Fractional coordinates of all 5 atoms:
In 0.5000 0.5000 0.5000
Sc 0.0000 0.5000 0.0000
Y 0.0000 0.0000 0.5000
O 0.0000 0.0000 0.0000
Sc 0.5000 0.0000 0.0000

The following is a GGA-PBE calculation of BeNiRh2 after structural relaxation, from Alexandria via LeMat-Bulk.

Computed properties:
**Space group**: No. 44
**D(E_F)**: 5.79 states/eV per cell
**E_form**: -0.202 eV per atom
**Total moment**: 0.72 Bohr magnetons per cell
**Final energy**: -6.255 eV/atom

Cell: 4.8155 4.8155 4.8155 Å, 146.15 129.92 61.83°
Last column: magnetic moment on the atom in μB.
Fractional coordinates of all 4 atoms:
Rh 0.2766 0.7766 0.5000  0.24
Be 0.5069 0.5069 0.0000  -0.01
Rh 0.9974 0.9974 0.0000  0.27
Ni 0.7191 0.2191 0.5000  0.24